(1)
This record from the Alexandria database describes an optimized crystal structure of PmNdGdEr. The functional is PBE.

Cell lengths 8.123, 8.123, 8.123 Å; angles 90.00, 90.00, 90.00 degrees
Space group F-43m (No. 216)
Symmetry-distinct sites (fractional):
Pm1 0.000 0.000 0.000 (multiplicity 4)
Nd1 0.250 0.250 0.250 (multiplicity 4)
Gd1 0.250 0.250 0.750 (multiplicity 4)
Er1 0.000 0.000 0.500 (multiplicity 4)

Calculated values
Total energy   -6.9196 eV/atom

---

(2)
This record from the Alexandria database describes an optimized crystal structure of Li2TlCr. The functional is PBE.

Cell lengths 3.2172, 3.2172, 27.8096 Å; angles 90.00, 90.00, 120.00 degrees
Space group R-3m (No. 166, hexagonal axes)
Symmetry-distinct sites (fractional):
Li1 0.0000 0.0000 0.2493 (multiplicity 6)
Tl1 0.0000 0.0000 0.0000 (multiplicity 3)
Cr1 0.0000 0.0000 0.5000 (multiplicity 3)

Calculated values
Total energy   -3.5730 eV/atom

---

(3)
This record from the Alexandria database describes an optimized crystal structure of RbPa2PtS8. The functional is PBE.

Cell lengths 6.1594, 6.1594, 9.0872 Å; angles 90.00, 90.00, 120.00 degrees
Space group P-3m1 (No. 164)
Symmetry-distinct sites (fractional):
Rb1 0.0000 0.0000 0.0000 (multiplicity 1)
Pa1 0.3333 0.6667 0.3878 (multiplicity 2)
Pt1 0.0000 0.0000 0.5000 (multiplicity 1)
S1 0.1788 0.3576 0.6512 (multiplicity 6)
S2 0.3333 0.6667 0.1229 (multiplicity 2)

Calculated values
ΔE_f (raw)   -953 meV/atom

---

(4)
This record from the Alexandria database describes an optimized crystal structure of ScAg2Pb. The functional is PBE.

Cell lengths 4.197, 4.197, 20.905 Å; angles 90.00, 90.00, 90.00 degrees
Space group I-42d (No. 122)
Symmetry-distinct sites (fractional):
Sc1 0.000 0.000 0.000 (multiplicity 4)
Ag1 0.246 0.250 0.125 (multiplicity 8)
Pb1 0.000 0.000 0.500 (multiplicity 4)

Calculated values
Total energy   -3.9109 eV/atom

---

(5)
This record from the Alexandria database describes an optimized crystal structure of CdSb3H. The functional is PBE.

Cell lengths 4.806, 4.806, 4.806 Å; angles 90.00, 90.00, 90.00 degrees
Space group Pm-3m (No. 221)
Symmetry-distinct sites (fractional):
Cd1 0.000 0.000 0.000 (multiplicity 1)
Sb1 0.000 0.500 0.500 (multiplicity 3)
H1 0.500 0.500 0.500 (multiplicity 1)

Calculated values
Energy relative to the lowest polymorph listed for this composition   0.0000 eV per atom

---

(6)
This record from the Alexandria database describes an optimized crystal structure of LaSi2Pb2. The functional is PBE.

Cell lengths 3.518, 3.518, 20.704 Å; angles 90.00, 90.00, 90.00 degrees
Space group I4/mmm (No. 139)
Symmetry-distinct sites (fractional):
La1 0.000 0.000 0.000 (multiplicity 2)
Si1 0.000 0.500 0.250 (multiplicity 4)
Pb1 0.000 0.000 0.381 (multiplicity 4)

Calculated values
Energy relative to the lowest polymorph listed for this composition   0.1738 eV per atom
ΔE_f (raw)   85 meV/atom

---

(7)
This record from the Alexandria database describes an optimized crystal structure of ZnS. The functional is PBE.

Cell lengths 3.862, 11.890, 5.753 Å; angles 90.00, 90.00, 90.00 degrees
Space group Pmmn (No. 59, origin choice 2)
Symmetry-distinct sites (fractional):
Zn1 0.250 0.105 0.076 (multiplicity 4)
Zn2 0.250 0.750 0.419 (multiplicity 2)
S1 0.250 0.250 0.348 (multiplicity 2)
S2 0.250 0.596 0.159 (multiplicity 4)

Calculated values
ΔE_f (raw)   -718 meV/atom

---

(8)
This record from the Alexandria database describes an optimized crystal structure of CdCu2Hg. The functional is PBE.

Cell lengths 3.248, 4.514, 9.143 Å; angles 90.00, 90.00, 90.00 degrees
Space group Imm2 (No. 44)
Symmetry-distinct sites (fractional):
Cd1 0.000 0.000 0.000 (multiplicity 2)
Cu1 0.000 0.000 0.531 (multiplicity 2)
Cu2 0.000 0.500 0.241 (multiplicity 2)
Hg1 0.000 0.500 0.778 (multiplicity 2)

Calculated values
Total energy   -2.2203 eV/atom